# GGA-PBE NaTb2Ce, optimized geometry
# Fermi-level density of states in states/eV/cell: 5.4
# Total energy in eV/atom: -3.980
# SG: No. 123
# ρ in kg/m³: 6220
# DFT formation energy in eV/atom: 0.148
# Magnetic moment in μB per atom: 0.030
data_NaTb2Ce
_chemical_formula_sum 'Na1 Tb2 Ce1'
_cell_length_a 3.503
_cell_length_b 3.503
_cell_length_c 10.467
_cell_angle_alpha 90.00
_cell_angle_beta 90.00
_cell_angle_gamma 90.00
_symmetry_space_group_name_H-M 'P 1'
_symmetry_Int_Tables_number 1
_symmetry_space_group_name_Hall 'P 1'
loop_
_atom_site_label
_atom_site_type_symbol
_atom_site_fract_x
_atom_site_fract_y
_atom_site_fract_z
Tb1 Tb 0.000 0.000 0.776
Tb2 Tb 0.000 0.000 0.224
Na1 Na 0.500 0.500 0.500
Ce1 Ce 0.500 0.500 0.000